First-principles (PBE) data for a relaxed structure of PmPu2Tl3Te6, as listed in Alexandria via LeMat-Bulk.

Output
N(E_F): 26.982 states/eV/f.u.
space group: C2/m (12)
magnetic moment: 10.0 Bohr magnetons per cell
formation energy from raw total energies: -0.8756 eV/atom
energy: -5.823 eV/atom

Cell: 7.8216 7.8216 8.5584 Å, 98.76 98.76 119.99°
Element x y z (fractional)
Pm 0.0000 0.0000 0.0000
Pu 0.3332 0.6668 0.0000
Pu 0.6668 0.3332 0.0000
Tl 0.1658 0.8342 0.5000
Tl 0.5000 0.5000 0.5000
Tl 0.8342 0.1658 0.5000
Te 0.0722 0.4092 0.2162
Te 0.2656 0.2656 0.7848
Te 0.4092 0.0722 0.2162
Te 0.5908 0.9278 0.7838
Te 0.7344 0.7344 0.2152
Te 0.9278 0.5908 0.7838